The following is a GGA-PBE calculation of crystalline TlHPd2Pt at its relaxed geometry, from the Open Quantum Materials Database.

Calculated values
- calculated total energy (eV per atom) = -4.6174
- size of the total moment (μB per formula unit) = 0.00

Lattice parameters (Å, degrees): 4.1797 4.1797 4.0278 90.00 90.00 90.00
Closest atoms and distances in Å follow each position.
Positions (direct):
1 H 0.0000 0.0000 0.0000  2 Pt 2.01, 4 Pd 2.09
2 Pd 0.5000 0.0000 0.0000  2 H 2.09
3 Pd 0.0000 0.5000 0.0000  2 H 2.09
4 Pt 0.0000 0.0000 0.5000  2 H 2.01
5 Tl 0.5000 0.5000 0.5000  8 Pd 2.90, 4 Pt 2.96



The following is a GGA-PBE calculation of crystalline HfPaTe at its relaxed geometry, from the Open Quantum Materials Database.

Calculated values
- calculated total energy (eV per atom) = -7.2511
- size of the total moment (μB per formula unit) = 0.85

Lattice parameters (Å, degrees): 4.9227 4.9227 4.9227 60.00 60.00 60.00
Closest atoms and distances in Å follow each position.
Positions (direct):
1 Hf 0.2500 0.2500 0.2500  4 Te 3.01
2 Pa 0.7500 0.7500 0.7500  4 Te 3.01
3 Te 0.0000 0.0000 0.0000  4 Pa 3.01, 4 Hf 3.01



The following is a GGA-PBE calculation of crystalline TmNpPa at its relaxed geometry, from the Open Quantum Materials Database.

Calculated values
- size of the total moment (μB per formula unit) = 5.24
- energy of formation (eV/atom) = 1.36

Lattice parameters (Å, degrees): 5.0306 5.0306 5.0306 60.00 60.00 60.00
Closest atoms and distances in Å follow each position.
Positions (direct):
1 Np 0.2500 0.2500 0.2500  4 Tm 3.08
2 Pa 0.7500 0.7500 0.7500  4 Tm 3.08
3 Tm 0.0000 0.0000 0.0000  4 Pa 3.08, 4 Np 3.08



The following is a GGA-PBE calculation of crystalline HfZnPt2 at its relaxed geometry, from the Open Quantum Materials Database.

Calculated values
- size of the total moment (μB per formula unit) = 0.00
- energy of formation (eV/atom) = -0.62

Lattice parameters (Å, degrees): 4.5393 4.5393 4.5393 60.00 60.00 60.00
Closest atoms and distances in Å follow each position.
Positions (direct):
1 Hf 0.7500 0.7500 0.7500  4 Pt 2.78, 4 Zn 2.78
2 Pt 0.2500 0.2500 0.2500  4 Pt 2.78, 4 Zn 2.78
3 Pt 0.5000 0.5000 0.5000  4 Pt 2.78, 4 Hf 2.78
4 Zn 0.0000 0.0000 0.0000  4 Pt 2.78, 4 Hf 2.78



The following is a GGA-PBE calculation of crystalline Be2HgPt2 at its relaxed geometry, from the Open Quantum Materials Database.

Calculated values
- energy above the most stable polymorph in this dataset (eV per atom) = 0.000
- size of the total moment (μB per formula unit) = 0.00

Lattice parameters (Å, degrees): 6.9813 6.9813 2.7947 90.00 90.00 90.00
Closest atoms and distances in Å follow each position.
Positions (direct):
1 Be 0.6316 0.1316 0.0000  6 Pt 2.43-2.54, 1 Be 2.60
2 Be 0.1316 0.3684 0.0000  6 Pt 2.43-2.54, 1 Be 2.60
3 Be 0.8684 0.6316 0.0000  6 Pt 2.43-2.54, 1 Be 2.60
4 Be 0.3684 0.8684 0.0000  6 Pt 2.43-2.54, 1 Be 2.60
5 Hg 0.0000 0.0000 0.0000  4 Be 2.73, 2 Hg 2.79, 8 Pt 2.99
6 Hg 0.5000 0.5000 0.0000  4 Be 2.73, 2 Hg 2.79, 8 Pt 2.99
7 Pt 0.3469 0.1531 0.5000  6 Be 2.43-2.54
8 Pt 0.8469 0.3469 0.5000  6 Be 2.43-2.54
9 Pt 0.1531 0.6531 0.5000  6 Be 2.43-2.54
10 Pt 0.6531 0.8469 0.5000  6 Be 2.43-2.54



The following is a GGA-PBE calculation of crystalline Tm6Fe2Pb at its relaxed geometry, from the Open Quantum Materials Database.

Calculated values
- calculated total energy (eV per atom) = -5.4436
- size of the total moment (μB per formula unit) = 0.28

Lattice parameters (Å, degrees): 8.3119 8.3119 8.3119 111.32 110.04 107.09
Closest atoms and distances in Å follow each position.
Positions (direct):
1 Fe 0.3870 0.0000 0.3870  1 Fe 2.15
2 Fe 0.8920 0.3920 0.5000  1 Fe 2.13
3 Fe 0.1080 0.6080 0.5000  1 Fe 2.13
4 Fe 0.6130 0.0000 0.6130  1 Fe 2.15
5 Pb 0.0000 0.0000 0.0000  8 Tm 3.12-3.26
6 Pb 0.5000 0.5000 0.0000  12 Tm 3.36-3.56
7 Tm 0.8111 0.2896 0.1007  2 Fe 2.88
8 Tm 0.4540 0.2304 0.2235  2 Fe 2.76-3.08
9 Tm 0.9931 0.7696 0.2235  2 Fe 2.76-3.08
10 Tm 0.3147 0.6154 0.3007  3 Fe 2.77-2.83
11 Tm 0.6853 0.9861 0.3007  3 Fe 2.77-2.83
12 Tm 0.1889 0.2896 0.4785  2 Fe 2.88
13 Tm 0.8111 0.7104 0.5215  2 Fe 2.88
14 Tm 0.3147 0.0139 0.6993  3 Fe 2.77-2.83
15 Tm 0.6853 0.3846 0.6993  3 Fe 2.77-2.83
16 Tm 0.0069 0.2304 0.7765  2 Fe 2.76-3.08
17 Tm 0.5460 0.7696 0.7765  2 Fe 2.76-3.08
18 Tm 0.1889 0.7104 0.8993  2 Fe 2.88



Copy entry 3 word for word.
The following is a GGA-PBE calculation of crystalline TmNpPa at its relaxed geometry, from the Open Quantum Materials Database.

Calculated values
- size of the total moment (μB per formula unit) = 5.24
- energy of formation (eV/atom) = 1.36

Lattice parameters (Å, degrees): 5.0306 5.0306 5.0306 60.00 60.00 60.00
Closest atoms and distances in Å follow each position.
Positions (direct):
1 Np 0.2500 0.2500 0.2500  4 Tm 3.08
2 Pa 0.7500 0.7500 0.7500  4 Tm 3.08
3 Tm 0.0000 0.0000 0.0000  4 Pa 3.08, 4 Np 3.08



Question: What is the size of the total moment in the first record?
Answer: 0.00 μB per formula unit